# 1
This record from the Alexandria database describes crystalline Pr4AgAu2 at its relaxed geometry. The functional is GGA-PBE.

Summary:
Magnetization = 0.0 μB per formula unit

Cell lengths 8.251, 8.255, 8.426 Å; angles 108.98, 108.94, 109.75 degrees
Positions (direct):
Pr 0.939 0.245 0.318
Pr 0.311 0.505 0.182
Pr 0.927 0.621 0.682
Pr 0.755 0.061 0.682
Pr 0.379 0.073 0.318
Pr 0.323 0.129 0.818
Pr 0.495 0.689 0.818
Pr 0.871 0.677 0.182
Ag 0.250 0.749 0.500
Ag 0.000 0.001 0.000
Au 0.625 0.375 0.750
Au 0.625 0.875 0.250
Au 0.625 0.375 0.250
Au 0.125 0.375 0.750

# 2
This record from the Alexandria database describes crystalline PrAg3Au at its relaxed geometry. The functional is GGA-PBE.

Summary:
Magnetization = 0.0 μB per formula unit

Cell lengths 5.350, 5.350, 10.234 Å; angles 105.15, 105.15, 90.00 degrees
Positions (direct):
Pr 0.572 0.072 0.145
Pr 0.928 0.428 0.855
Ag 0.619 0.874 0.747
Ag 0.126 0.872 0.253
Ag 0.126 0.381 0.253
Ag 0.128 0.874 0.747
Ag 0.318 0.318 0.636
Ag 0.682 0.682 0.364
Au 0.000 0.000 0.000
Au 0.250 0.750 0.500

# 3
This record from the Alexandria database describes crystalline Pr4Ag2Au5 at its relaxed geometry. The functional is GGA-PBE.

Summary:
Magnetization = 0.0 μB per formula unit

Cell lengths 3.819, 7.875, 9.205 Å; angles 88.04, 90.00, 90.00 degrees
Positions (direct):
Pr 0.500 0.723 0.634
Pr 0.500 0.228 0.867
Pr 0.500 0.277 0.366
Pr 0.500 0.772 0.133
Ag 0.000 0.066 0.630
Ag 0.000 0.934 0.370
Au 0.000 0.585 0.360
Au 0.000 0.131 0.117
Au 0.000 0.500 0.000
Au 0.000 0.869 0.883
Au 0.000 0.415 0.640

# 4
This record from the Alexandria database describes crystalline PrAg6Au6 at its relaxed geometry. The functional is GGA-PBE.

Summary:
Magnetization = 0.0 μB per formula unit

Cell lengths 5.617, 7.313, 7.313 Å; angles 80.79, 67.41, 67.41 degrees
Positions (direct):
Pr 0.000 0.000 0.000
Ag 0.000 0.500 0.000
Ag 0.500 0.500 0.000
Ag 0.000 0.000 0.500
Ag 0.500 0.000 0.500
Ag 0.500 0.767 0.233
Ag 0.500 0.233 0.767
Au 0.343 0.657 0.657
Au 0.657 0.343 0.343
Au 0.000 0.343 0.657
Au 0.000 0.657 0.343
Au 0.307 0.193 0.193
Au 0.693 0.807 0.807

# 5
This record from the Alexandria database describes crystalline Pr2Ag3Au at its relaxed geometry. The functional is GGA-PBE.

Summary:
Magnetization = 0.0 μB per formula unit

Cell lengths 6.001, 6.001, 9.664 Å; angles 113.58, 113.58, 73.24 degrees
Positions (direct):
Pr 0.750 0.250 0.500
Pr 0.748 0.252 0.000
Pr 0.250 0.750 0.500
Pr 0.252 0.748 0.000
Ag 0.834 0.834 0.166
Ag 0.669 0.669 0.834
Ag 0.166 0.166 0.834
Ag 0.331 0.331 0.166
Ag 0.166 0.166 0.332
Ag 0.834 0.834 0.668
Au 0.667 0.667 0.334
Au 0.333 0.333 0.666

# 6
This record from the Alexandria database describes crystalline PrAg2Au4 at its relaxed geometry. The functional is GGA-PBE.

Summary:
Magnetization = 0.0 μB per formula unit

Cell lengths 5.422, 5.816, 5.816 Å; angles 77.45, 62.22, 62.22 degrees
Positions (direct):
Pr 0.000 0.000 0.000
Au 0.695 0.000 0.609
Au 0.305 0.000 0.391
Au 0.305 0.391 0.000
Au 0.695 0.609 0.000
Ag 0.750 0.500 0.500
Ag 0.250 0.500 0.500

# 7
This record from the Alexandria database describes crystalline Pr3Ag9Au2 at its relaxed geometry. The functional is GGA-PBE.

Summary:
Magnetization = 0.0 μB per formula unit

Cell lengths 4.706, 8.724, 8.724 Å; angles 67.01, 74.35, 74.35 degrees
Positions (direct):
Pr 0.000 0.000 0.000
Pr 0.683 0.317 0.317
Pr 0.317 0.683 0.683
Ag 0.000 0.500 0.500
Ag 0.681 0.961 0.678
Ag 0.319 0.039 0.322
Ag 0.681 0.678 0.961
Ag 0.319 0.322 0.039
Ag 0.876 0.849 0.399
Ag 0.124 0.151 0.601
Ag 0.876 0.399 0.849
Ag 0.124 0.601 0.151
Au 0.500 0.285 0.715
Au 0.500 0.715 0.285

# 8
This record from the Alexandria database describes crystalline Pr3AgAu at its relaxed geometry. The functional is GGA-PBE.

Summary:
Magnetization = 0.0 μB per formula unit

Cell lengths 5.309, 5.317, 10.513 Å; angles 90.00, 75.37, 90.00 degrees
Positions (direct):
Pr 0.758 0.250 0.133
Pr 0.389 0.250 0.870
Pr 0.574 0.250 0.501
Pr 0.259 0.750 0.130
Pr 0.891 0.750 0.867
Pr 0.075 0.750 0.499
Ag 0.481 0.750 0.687
Ag 0.168 0.250 0.313
Au 0.665 0.750 0.319
Au 0.984 0.250 0.681

# 9
This record from the Alexandria database describes crystalline Pr3Ag2Au4 at its relaxed geometry. The functional is GGA-PBE.

Summary:
Magnetization = 0.0 μB per formula unit

Cell lengths 4.813, 5.985, 8.683 Å; angles 73.60, 73.91, 66.29 degrees
Positions (direct):
Pr 0.343 0.636 0.679
Pr 0.000 0.000 0.000
Pr 0.657 0.364 0.321
Ag 0.369 0.964 0.297
Ag 0.631 0.036 0.703
Au 0.279 0.385 0.057
Au 0.721 0.615 0.943
Au 0.068 0.261 0.603
Au 0.932 0.739 0.397

# 10
This record from the Alexandria database describes crystalline Pr12Ag6Au at its relaxed geometry. The functional is GGA-PBE.

Summary:
Magnetization = 0.0 μB per formula unit

Cell lengths 8.199, 8.199, 8.199 Å; angles 89.08, 89.08, 89.08 degrees
Positions (direct):
Pr 0.806 0.538 0.450
Pr 0.450 0.806 0.538
Pr 0.538 0.450 0.806
Pr 0.194 0.462 0.550
Pr 0.550 0.194 0.462
Pr 0.462 0.550 0.194
Pr 0.010 0.138 0.358
Pr 0.862 0.642 0.990
Pr 0.642 0.990 0.862
Pr 0.990 0.862 0.642
Pr 0.138 0.358 0.010
Pr 0.358 0.010 0.138
Ag 0.731 0.889 0.261
Ag 0.739 0.269 0.111
Ag 0.111 0.739 0.269
Ag 0.269 0.111 0.739
Ag 0.261 0.731 0.889
Ag 0.889 0.261 0.731
Au 0.000 0.000 0.000

# 11
This record from the Alexandria database describes crystalline Pr4Ag3Au at its relaxed geometry. The functional is GGA-PBE.

Summary:
Magnetization = 0.0 μB per formula unit

Cell lengths 3.959, 4.918, 11.379 Å; angles 90.00, 90.00, 90.00 degrees
Positions (direct):
Pr 0.500 0.500 0.356
Pr 0.000 0.500 0.863
Pr 0.000 0.000 0.140
Pr 0.500 0.000 0.642
Ag 0.000 0.500 0.576
Ag 0.000 0.000 0.423
Ag 0.500 0.000 0.922
Au 0.500 0.500 0.080

# 12
This record from the Alexandria database describes crystalline Pr2AgAu at its relaxed geometry. The functional is GGA-PBE.

Summary:
Magnetization = 0.0 μB per formula unit

Cell lengths 3.757, 3.757, 7.540 Å; angles 90.00, 90.00, 90.00 degrees
Positions (direct):
Pr 0.000 0.000 0.756
Pr 0.000 0.000 0.244
Au 0.500 0.500 0.000
Ag 0.500 0.500 0.500

# 13
This record from the Alexandria database describes crystalline Pr12AgAu6 at its relaxed geometry. The functional is GGA-PBE.

Summary:
Magnetization = 0.0 μB per formula unit

Cell lengths 8.797, 8.797, 8.797 Å; angles 100.03, 100.03, 100.03 degrees
Positions (direct):
Pr 0.820 0.578 0.426
Pr 0.426 0.820 0.578
Pr 0.578 0.426 0.820
Pr 0.180 0.422 0.574
Pr 0.574 0.180 0.422
Pr 0.422 0.574 0.180
Pr 0.072 0.944 0.326
Pr 0.056 0.674 0.928
Pr 0.674 0.928 0.056
Pr 0.928 0.056 0.674
Pr 0.944 0.326 0.072
Pr 0.326 0.072 0.944
Ag 0.000 0.000 0.000
Au 0.692 0.865 0.381
Au 0.619 0.308 0.135
Au 0.135 0.619 0.308
Au 0.308 0.135 0.619
Au 0.381 0.692 0.865
Au 0.865 0.381 0.692

# 14
This record from the Alexandria database describes crystalline Pr3AgAu at its relaxed geometry. The functional is GGA-PBE.

Summary:
Magnetization = 0.0 μB per formula unit

Cell lengths 6.263, 10.293, 10.293 Å; angles 71.22, 74.40, 74.40 degrees
Positions (direct):
Pr 0.415 0.289 0.075
Pr 0.915 0.075 0.289
Pr 0.085 0.925 0.711
Pr 0.585 0.711 0.925
Pr 0.953 0.333 0.469
Pr 0.453 0.469 0.333
Pr 0.547 0.531 0.667
Pr 0.047 0.667 0.531
Pr 0.962 0.633 0.171
Pr 0.462 0.171 0.633
Pr 0.538 0.829 0.367
Pr 0.038 0.367 0.829
Ag 0.250 0.812 0.188
Ag 0.250 0.044 0.956
Ag 0.750 0.188 0.812
Ag 0.750 0.956 0.044
Au 0.853 0.384 0.121
Au 0.353 0.121 0.384
Au 0.647 0.879 0.616
Au 0.147 0.616 0.879

# 15
This record from the Alexandria database describes crystalline Pr2Ag3Au5 at its relaxed geometry. The functional is GGA-PBE.

Summary:
Magnetization = 0.0 μB per formula unit

Cell lengths 5.811, 9.262, 9.262 Å; angles 90.69, 71.72, 71.72 degrees
Positions (direct):
Pr 0.125 0.635 0.116
Pr 0.625 0.116 0.635
Pr 0.875 0.365 0.884
Pr 0.375 0.884 0.365
Ag 0.379 0.477 0.766
Ag 0.879 0.766 0.477
Ag 0.621 0.523 0.234
Ag 0.121 0.234 0.523
Ag 0.250 0.000 0.000
Ag 0.750 0.000 0.000
Au 0.372 0.278 0.978
Au 0.872 0.978 0.278
Au 0.628 0.722 0.022
Au 0.128 0.022 0.722
Au 0.500 0.750 0.750
Au 0.500 0.250 0.250
Au 0.750 0.500 0.500
Au 0.250 0.500 0.500
Au 0.000 0.250 0.250
Au 0.000 0.750 0.750

# 16
This record from the Alexandria database describes crystalline Pr2AgAu2 at its relaxed geometry. The functional is GGA-PBE.

Summary:
Magnetization = 0.0 μB per formula unit

Cell lengths 3.992, 8.028, 8.028 Å; angles 90.00, 90.00, 90.00 degrees
Positions (direct):
Pr 0.500 0.172 0.672
Pr 0.500 0.672 0.828
Pr 0.500 0.828 0.328
Pr 0.500 0.328 0.172
Ag 0.000 0.000 0.000
Ag 0.000 0.500 0.500
Au 0.000 0.371 0.871
Au 0.000 0.871 0.629
Au 0.000 0.629 0.129
Au 0.000 0.129 0.371

# 17
This record from the Alexandria database describes crystalline Pr5Ag2Au5 at its relaxed geometry. The functional is GGA-PBE.

Summary:
Magnetization = 0.0 μB per formula unit

Cell lengths 4.289, 8.608, 8.988 Å; angles 90.84, 76.20, 75.57 degrees
Positions (direct):
Pr 0.000 0.500 0.500
Pr 0.686 0.722 0.907
Pr 0.380 0.921 0.319
Pr 0.620 0.079 0.681
Pr 0.314 0.278 0.093
Ag 0.379 0.482 0.760
Ag 0.621 0.518 0.240
Au 0.717 0.208 0.359
Au 0.928 0.301 0.842
Au 0.072 0.699 0.158
Au 0.283 0.792 0.641
Au 0.000 0.000 0.000

# 18
This record from the Alexandria database describes crystalline PrAgAu4 at its relaxed geometry. The functional is GGA-PBE.

Summary:
Magnetization = 0.0 μB per formula unit

Cell lengths 5.602, 5.602, 5.602 Å; angles 60.00, 60.00, 60.00 degrees
Positions (direct):
Pr 0.250 0.250 0.250
Au 0.626 0.626 0.123
Au 0.626 0.123 0.626
Au 0.626 0.626 0.626
Au 0.123 0.626 0.626
Ag 0.000 0.000 0.000

# 19
This record from the Alexandria database describes crystalline Pr8Ag3Au2 at its relaxed geometry. The functional is GGA-PBE.

Summary:
Magnetization = 0.0 μB per formula unit

Cell lengths 6.138, 8.520, 8.797 Å; angles 118.96, 93.54, 90.00 degrees
Positions (direct):
Pr 0.864 0.585 0.170
Pr 0.136 0.415 0.830
Pr 0.879 0.180 0.360
Pr 0.121 0.820 0.640
Pr 0.618 0.599 0.755
Pr 0.618 0.156 0.755
Pr 0.382 0.844 0.245
Pr 0.382 0.401 0.245
Ag 0.500 0.000 0.000
Ag 0.000 0.166 0.000
Ag 0.000 0.834 0.000
Au 0.375 0.246 0.491
Au 0.625 0.754 0.509

# 20
This record from the Alexandria database describes crystalline Pr4Ag3Au at its relaxed geometry. The functional is GGA-PBE.

Summary:
Magnetization = 0.0 μB per formula unit

Cell lengths 3.772, 3.772, 15.094 Å; angles 90.00, 90.00, 90.00 degrees
Positions (direct):
Pr 0.000 0.000 0.879
Pr 0.000 0.000 0.121
Pr 0.000 0.000 0.374
Pr 0.000 0.000 0.626
Au 0.500 0.500 0.000
Ag 0.500 0.500 0.250
Ag 0.500 0.500 0.500
Ag 0.500 0.500 0.750

no.,volume (Å³/atom),N(E_F) (states/eV/cell),total DFT energy (no corrections) (eV/atom)
1,31.84,13.8,-4.424
2,27.22,5.7,-3.279
3,25.15,8.4,-4.334
4,19.70,4.2,-3.349
5,24.08,10.2,-3.958
6,20.51,3.3,-3.761
7,22.28,6.4,-3.573
8,28.72,11.4,-4.479
9,23.98,7.4,-4.292
10,29.00,23.2,-4.186
11,27.69,7.5,-4.243
12,26.61,3.5,-4.423
13,33.96,24.6,-4.535
14,29.64,22.6,-4.368
15,22.30,7.7,-3.782
16,25.73,7.5,-4.426
17,25.93,7.3,-4.435
18,20.71,5.3,-3.872
19,30.88,16.3,-4.313
20,26.84,7.5,-4.243